# PBE-GGA Fe2PdAu, relaxed
data_Fe2PdAu
_cell_length_a 6.975
_cell_length_b 6.975
_cell_length_c 5.292
_cell_angle_alpha 90.00
_cell_angle_beta 90.00
_cell_angle_gamma 90.00
_symmetry_space_group_name_H-M 'I -4 2 d'
_symmetry_Int_Tables_number 122
_symmetry_space_group_name_Hall 'I -4 2bw'
loop_
_atom_site_label
_atom_site_type_symbol
_atom_site_fract_x
_atom_site_fract_y
_atom_site_fract_z
Fe1 Fe 0.240 0.250 0.125
Pd1 Pd 0.000 0.000 0.000
Au1 Au 0.000 0.000 0.500
# Total magnetization = 6.6 μB/f.u.
# E = -5.93 eV/atom
# ΔE_f = 0.4192 eV/atom
# D(E_F) = 15.6 states/eV/cell